K2V3CoF12: relaxed, PBE with a Hubbard U.

Geometry as POSCAR:
```
K2V3CoF12
1.0
3.750 2.165 6.062
-3.750 2.165 6.062
0.000 -4.330 6.062
K V Co F
2 3 1 12
Direct
0.155 0.155 0.155
0.845 0.845 0.845
0.000 0.500 0.500
0.500 0.000 0.500
0.500 0.500 0.000
0.500 0.500 0.500
0.166 0.578 0.578
0.182 0.182 0.565
0.182 0.565 0.182
0.422 0.422 0.834
0.422 0.834 0.422
0.435 0.818 0.818
0.565 0.182 0.182
0.578 0.166 0.578
0.578 0.578 0.166
0.818 0.435 0.818
0.818 0.818 0.435
0.834 0.422 0.422
```

## Properties
The value obtained for the total moment is 9.58 μB per cell. Its electronic total energy is -5.58 eV per atom.